[1]
This record from Alexandria describes a relaxed LaAsIr2 crystal. The functional is PBE-GGA.

DOS at the Fermi energy: 0.847 states/eV/atom
energy of formation from the pure elements: -0.18 eV/atom
size of the total moment: 0.00 Bohr magnetons per cell
volume: 76.7 Å³/f.u.

CIF file:
```
data_LaAsIr2
_symmetry_space_group_name_H-M 'P 4 m m'
_symmetry_Int_Tables_number 99
_symmetry_space_group_name_Hall 'P 4 -2'
_cell_length_a 3.268
_cell_length_b 3.268
_cell_length_c 7.175
_cell_angle_alpha 90.00
_cell_angle_beta 90.00
_cell_angle_gamma 90.00
loop_
_atom_site_label
_atom_site_type_symbol
_atom_site_fract_x
_atom_site_fract_y
_atom_site_fract_z
_atom_site_occupancy
La1 La 0.000 0.000 0.000 1
As1 As 0.500 0.500 0.337 1
Ir1 Ir 0.000 0.000 0.487 1
Ir2 Ir 0.500 0.500 0.737 1
```


[2]
This record from Alexandria describes a relaxed Tb2DySi2 crystal. The functional is PBE-GGA.

DOS at the Fermi energy: 0.843 states/eV/atom
energy relative to the elements, uncorrected: -705 meV/atom
polymorph energy (0 for the lowest one): 0.00 kcal/mol of atoms
size of the total moment: 0.00 Bohr magnetons per cell
volume: 119.2 Å³/f.u.

CIF file:
```
data_Tb2DySi2
_symmetry_space_group_name_H-M 'P 4/m b m'
_symmetry_Int_Tables_number 127
_symmetry_space_group_name_Hall '-P 4 2ab'
_cell_length_a 7.504
_cell_length_b 7.504
_cell_length_c 4.235
_cell_angle_alpha 90.00
_cell_angle_beta 90.00
_cell_angle_gamma 90.00
loop_
_atom_site_label
_atom_site_type_symbol
_atom_site_fract_x
_atom_site_fract_y
_atom_site_fract_z
_atom_site_occupancy
Tb1 Tb 0.176 0.324 0.000 1
Dy1 Dy 0.000 0.000 0.500 1
Si1 Si 0.116 0.616 0.500 1
```


[3]
This record from Alexandria describes a relaxed CsCd2Cl crystal. The functional is PBE-GGA.

DOS at the Fermi energy: 0.000 states/eV/atom
energy relative to the elements, uncorrected: -550 meV/atom
polymorph energy (0 for the lowest one): 0.00 kcal/mol of atoms
size of the total moment: 0.00 Bohr magnetons per cell
volume: 168.2 Å³/f.u.

CIF file:
```
data_CsCd2Cl
_symmetry_space_group_name_H-M 'I -4 2 d'
_symmetry_Int_Tables_number 122
_symmetry_space_group_name_Hall 'I -4 2bw'
_cell_length_a 10.102
_cell_length_b 10.102
_cell_length_c 6.593
_cell_angle_alpha 90.00
_cell_angle_beta 90.00
_cell_angle_gamma 90.00
loop_
_atom_site_label
_atom_site_type_symbol
_atom_site_fract_x
_atom_site_fract_y
_atom_site_fract_z
_atom_site_occupancy
Cs1 Cs 0.000 0.000 0.000 1
Cd1 Cd 0.208 0.750 0.625 1
Cl1 Cl 0.000 0.000 0.500 1
```


[4]
This record from Alexandria describes a relaxed Rb2GeB crystal. The functional is PBE-GGA.

DOS at the Fermi energy: 1.107 states/eV/atom
polymorph energy (0 for the lowest one): 20.22 kcal/mol of atoms
energy of formation from the pure elements: 1.28 eV/atom
size of the total moment: 0.00 Bohr magnetons per cell
volume: 131.8 Å³/f.u.

CIF file:
```
data_Rb2GeB
_symmetry_space_group_name_H-M 'F m -3 m'
_symmetry_Int_Tables_number 225
_symmetry_space_group_name_Hall '-F 4 2 3'
_cell_length_a 8.078
_cell_length_b 8.078
_cell_length_c 8.078
_cell_angle_alpha 90.00
_cell_angle_beta 90.00
_cell_angle_gamma 90.00
loop_
_atom_site_label
_atom_site_type_symbol
_atom_site_fract_x
_atom_site_fract_y
_atom_site_fract_z
_atom_site_occupancy
Rb1 Rb 0.250 0.250 0.250 1
Ge1 Ge 0.000 0.000 0.000 1
B1 B 0.000 0.000 0.500 1
```


[5]
This record from Alexandria describes a relaxed Y2TaTe crystal. The functional is PBE-GGA.

DOS at the Fermi energy: 1.182 states/eV/atom
energy relative to the elements, uncorrected: -123 meV/atom
size of the total moment: 0.00 Bohr magnetons per cell
volume: 101.9 Å³/f.u.

CIF file:
```
data_Y2TaTe
_symmetry_space_group_name_H-M 'P 4/m m m'
_symmetry_Int_Tables_number 123
_symmetry_space_group_name_Hall '-P 4 2'
_cell_length_a 5.319
_cell_length_b 5.319
_cell_length_c 3.601
_cell_angle_alpha 90.00
_cell_angle_beta 90.00
_cell_angle_gamma 90.00
loop_
_atom_site_label
_atom_site_type_symbol
_atom_site_fract_x
_atom_site_fract_y
_atom_site_fract_z
_atom_site_occupancy
Y1 Y 0.000 0.500 0.000 1
Ta1 Ta 0.000 0.000 0.500 1
Te1 Te 0.500 0.500 0.500 1
```


[6]
This record from Alexandria describes a relaxed CoNi2Sb crystal. The functional is PBE-GGA.

DOS at the Fermi energy: 1.236 states/eV/atom
energy relative to the elements, uncorrected: 280 meV/atom
size of the total moment: 0.70 Bohr magnetons per cell
volume: 56.9 Å³/f.u.

CIF file:
```
data_CoNi2Sb
_symmetry_space_group_name_H-M 'I -4 2 d'
_symmetry_Int_Tables_number 122
_symmetry_space_group_name_Hall 'I -4 2bw'
_cell_length_a 3.612
_cell_length_b 3.612
_cell_length_c 17.458
_cell_angle_alpha 90.00
_cell_angle_beta 90.00
_cell_angle_gamma 90.00
loop_
_atom_site_label
_atom_site_type_symbol
_atom_site_fract_x
_atom_site_fract_y
_atom_site_fract_z
_atom_site_occupancy
Co1 Co 0.000 0.000 0.000 1
Ni1 Ni 0.229 0.250 0.125 1
Sb1 Sb 0.000 0.000 0.500 1
```


[7]
This record from Alexandria describes a relaxed ScCrCN2 crystal. The functional is PBE-GGA.

DOS at the Fermi energy: 1.086 states/eV/atom
energy relative to the elements, uncorrected: 1900 meV/atom
size of the total moment: 0.25 Bohr magnetons per cell
volume: 65.9 Å³/f.u.

CIF file:
```
data_ScCrCN2
_symmetry_space_group_name_H-M 'P 4/m m m'
_symmetry_Int_Tables_number 123
_symmetry_space_group_name_Hall '-P 4 2'
_cell_length_a 4.012
_cell_length_b 4.012
_cell_length_c 4.093
_cell_angle_alpha 90.00
_cell_angle_beta 90.00
_cell_angle_gamma 90.00
loop_
_atom_site_label
_atom_site_type_symbol
_atom_site_fract_x
_atom_site_fract_y
_atom_site_fract_z
_atom_site_occupancy
Sc1 Sc 0.000 0.000 0.000 1
Cr1 Cr 0.500 0.500 0.500 1
C1 C 0.000 0.000 0.500 1
N1 N 0.000 0.500 0.000 1
```


[8]
This record from Alexandria describes a relaxed SrRu crystal. The functional is PBE-GGA.

DOS at the Fermi energy: 1.473 states/eV/atom
energy of formation from the pure elements: 0.97 eV/atom
size of the total moment: 1.24 Bohr magnetons per cell
volume: 45.8 Å³/f.u.

CIF file:
```
data_SrRu
_symmetry_space_group_name_H-M 'R -3 m'
_symmetry_Int_Tables_number 166
_symmetry_space_group_name_Hall '-R 3 2"'
_cell_length_a 3.3540
_cell_length_b 3.3540
_cell_length_c 14.0990
_cell_angle_alpha 90.00
_cell_angle_beta 90.00
_cell_angle_gamma 120.00
loop_
_atom_site_label
_atom_site_type_symbol
_atom_site_fract_x
_atom_site_fract_y
_atom_site_fract_z
_atom_site_occupancy
Sr1 Sr 0.0000 0.0000 0.0000 1
Ru1 Ru 0.0000 0.0000 0.5000 1
```


> The highest DOS at the Fermi energy belongs to which entry?

SrRu


> What is the formula in the third record?

CsCd2Cl